Material: Li7Mn2Co3O12
Method: DFT, PBE with a Hubbard U
State: optimized geometry

a = 5.0302 Å, b = 5.8821 Å, c = 7.8309 Å
α = 78.15°, β = 78.32°, γ = 72.47°
With the nearest neighbours (Å) after each atom.
Fractional positions:
Li1 0.0000 0.0000 0.0000  6 O 2.05-2.24
Li2 0.0013 0.6735 0.3520  5 O 2.04-2.16
Li3 0.0051 0.8374 0.6750  6 O 2.05-2.18
Li4 0.4855 0.8322 0.1816  6 O 2.04-2.24
Li5 0.4876 0.5051 0.5208  6 O 2.03-2.23
Li6 0.5034 0.1645 0.8356  5 O 2.02-2.19
Li7 0.9941 0.3366 0.6749  6 O 2.09-2.29
Mn1 0.4890 0.3375 0.1797  6 O 1.91-1.98
Mn2 0.9929 0.1648 0.3503  6 O 1.88-2.00
Co1 0.4901 0.6711 0.8440  5 O 1.91-2.14
Co2 0.5122 0.9761 0.5270  3 O 1.82-2.02
Co3 0.9880 0.5196 0.9995  4 O 1.86-2.07
O1 0.2323 0.1910 0.1129  2 Mn 1.95-2.00, 1 Co 2.08, 1 Li 2.13
O2 0.2363 0.8630 0.4213  1 Mn 1.88, 3 Li 2.04-2.09, 1 Co 2.07
O3 0.2456 0.6459 0.1034  1 Mn 1.91, 1 Co 2.04, 2 Li 2.09-2.10
O4 0.2501 0.3157 0.4129  2 Mn 1.96-1.98, 1 Li 2.11, 1 Co 2.16
O5 0.2546 0.5122 0.7767  2 Co 1.92-1.97, 3 Li 2.05-2.11
O6 0.2666 0.9868 0.7638  2 Co 1.91-2.01, 3 Li 2.02-2.07
O7 0.7171 0.3490 0.9452  1 Mn 1.96, 2 Co 1.99-2.07, 2 Li 2.13
O8 0.7348 0.8127 0.9303  2 Co 1.86-1.96
O9 0.7371 0.4769 0.2567  2 Mn 1.93-1.99, 1 Li 2.13, 1 Co 2.16
O10 0.7382 0.6755 0.5877  1 Co 1.82, 1 Li 2.03
O11 0.7466 0.0294 0.2620  2 Mn 1.95, 1 Li 2.16, 1 Co 2.18
O12 0.7563 0.1684 0.5726  1 Mn 1.90, 1 Co 2.02, 3 Li 2.05-2.12

The space-group type is P1. The polymorph energy (0 for the lowest one) comes out at 0.898 eV per formula unit. The total magnetization comes out at 15.97 μB/f.u. As for the energy: -5.859 eV/atom.